1 | Computed, not measured: a relaxed structure of Sn2HgBr2 at the PBE level of DFT.

Lattice parameters (Å, degrees): 4.3011 4.3011 19.2913 90.00 90.00 90.00
With the nearest neighbours (Å) after each atom.
Element x y z (fractional)
1 Sn 0.0000 0.5000 0.2500  4 Sn 3.04, 4 Br 3.24
2 Sn 0.0000 0.5000 0.7500  4 Sn 3.04, 4 Br 3.24
3 Sn 0.5000 0.0000 0.2500  4 Sn 3.04, 4 Br 3.24
4 Sn 0.5000 0.0000 0.7500  4 Sn 3.04, 4 Br 3.24
5 Hg 0.0000 0.0000 0.0000  8 Br 3.87, 4 Hg 4.30
6 Hg 0.5000 0.5000 0.5000  8 Br 3.87, 4 Hg 4.30
7 Br 0.0000 0.0000 0.3757  4 Sn 3.24
8 Br 0.0000 0.0000 0.6243  4 Sn 3.24
9 Br 0.5000 0.5000 0.1243  4 Sn 3.24
10 Br 0.5000 0.5000 0.8757  4 Sn 3.24

2 | Computed, not measured: a relaxed structure of Sn2HgBr2 at the PBE level of DFT.

Lattice parameters (Å, degrees): 7.5899 7.5899 5.5850 90.00 90.00 90.00
With the nearest neighbours (Å) after each atom.
Element x y z (fractional)
1 Sn 0.1414 0.3586 0.0000  2 Br 2.85, 2 Hg 2.93, 1 Sn 3.03
2 Sn 0.3586 0.8586 0.0000  2 Br 2.85, 2 Hg 2.93, 1 Sn 3.03
3 Sn 0.6414 0.1414 0.0000  2 Br 2.85, 2 Hg 2.93, 1 Sn 3.03
4 Sn 0.8586 0.6414 0.0000  2 Br 2.85, 2 Hg 2.93, 1 Sn 3.03
5 Hg 0.0000 0.0000 0.0000  4 Sn 2.93
6 Hg 0.5000 0.5000 0.0000  4 Sn 2.93
7 Br 0.1939 0.3061 0.5000  2 Sn 2.85
8 Br 0.3061 0.8061 0.5000  2 Sn 2.85
9 Br 0.6939 0.1939 0.5000  2 Sn 2.85
10 Br 0.8061 0.6939 0.5000  2 Sn 2.85

Stability, descending: 2, 1

1 | Computed, not measured: a relaxed structure of SnHg3Br at the PBE level of DFT.

Lattice parameters (Å, degrees): 5.7803 5.7803 5.7803 90.00 90.00 90.00
With the nearest neighbours (Å) after each atom.
Element x y z (fractional)
1 Sn 0.0000 0.0000 0.0000  12 Hg 4.09
2 Hg 0.0000 0.5000 0.5000  2 Br 2.89
3 Hg 0.5000 0.0000 0.5000  2 Br 2.89
4 Hg 0.5000 0.5000 0.0000  2 Br 2.89
5 Br 0.5000 0.5000 0.5000  6 Hg 2.89

2 | Computed, not measured: a relaxed structure of SnHg3Br at the PBE level of DFT.

Lattice parameters (Å, degrees): 5.6048 5.6048 5.6048 90.00 90.00 90.00
With the nearest neighbours (Å) after each atom.
Element x y z (fractional)
1 Sn 0.0000 0.0000 0.0000  6 Hg 2.80
2 Hg 0.0000 0.0000 0.5000  2 Sn 2.80
3 Hg 0.0000 0.5000 0.0000  2 Sn 2.80
4 Hg 0.5000 0.0000 0.0000  2 Sn 2.80
5 Br 0.5000 0.5000 0.5000  12 Hg 3.96

Stability, descending: 2, 1

1 | Computed, not measured: a relaxed structure of Sn2HgBr6 at the PBE level of DFT.

Lattice parameters (Å, degrees): 8.4020 8.4020 9.7007 98.92 98.92 29.99
With the nearest neighbours (Å) after each atom.
Element x y z (fractional)
1 Sn 0.1506 0.1506 0.3293  3 Br 2.79-2.92
2 Sn 0.8494 0.8494 0.6707  3 Br 2.79-2.92
3 Hg 0.5000 0.5000 0.0000  2 Br 2.68
4 Br 0.1302 0.1302 0.0381  1 Sn 2.79, 2 Hg 3.01
5 Br 0.2302 0.2302 0.6760  2 Sn 2.92
6 Br 0.4935 0.4935 0.7224  1 Hg 2.68
7 Br 0.5065 0.5065 0.2776  1 Hg 2.68
8 Br 0.7698 0.7698 0.3240  2 Sn 2.92
9 Br 0.8698 0.8698 0.9619  1 Sn 2.79, 2 Hg 3.01

2 | Computed, not measured: a relaxed structure of Sn2HgBr6 at the PBE level of DFT.

Lattice parameters (Å, degrees): 9.4918 9.4918 7.4995 95.22 95.22 99.22
With the nearest neighbours (Å) after each atom.
Element x y z (fractional)
1 Sn 0.0383 0.2739 0.1570  3 Br 2.74-2.96
2 Sn 0.2739 0.0383 0.6570  3 Br 2.74-2.96
3 Sn 0.7261 0.9617 0.3430  3 Br 2.74-2.96
4 Sn 0.9617 0.7261 0.8430  3 Br 2.74-2.96
5 Hg 0.4345 0.5655 0.7500  6 Br 2.83-2.89
6 Hg 0.5655 0.4345 0.2500  6 Br 2.83-2.89
7 Br 0.0380 0.8019 0.5123  2 Sn 2.77-2.96
8 Br 0.1462 0.5321 0.8514  1 Sn 2.74, 1 Hg 2.88
9 Br 0.1981 0.9620 0.9877  2 Sn 2.77-2.96
10 Br 0.3020 0.4466 0.3952  2 Hg 2.83-2.89, 1 Sn 3.08
11 Br 0.4466 0.3020 0.8952  2 Hg 2.83-2.89, 1 Sn 3.08
12 Br 0.4679 0.8538 0.6486  1 Sn 2.74, 1 Hg 2.88
13 Br 0.5321 0.1462 0.3514  1 Sn 2.74, 1 Hg 2.88
14 Br 0.5534 0.6980 0.1048  2 Hg 2.83-2.89, 1 Sn 3.08
15 Br 0.6980 0.5534 0.6048  2 Hg 2.83-2.89, 1 Sn 3.08
16 Br 0.8019 0.0380 0.0123  2 Sn 2.77-2.96
17 Br 0.8538 0.4679 0.1486  1 Sn 2.74, 1 Hg 2.88
18 Br 0.9620 0.1981 0.4877  2 Sn 2.77-2.96

Stability, descending: 1, 2

1 | Computed, not measured: a relaxed structure of Sn3HgBr at the PBE level of DFT.

Lattice parameters (Å, degrees): 5.6826 5.6826 5.6826 90.00 90.00 90.00
With the nearest neighbours (Å) after each atom.
Element x y z (fractional)
1 Sn 0.0000 0.0000 0.5000  2 Hg 2.84
2 Sn 0.0000 0.5000 0.0000  2 Hg 2.84
3 Sn 0.5000 0.0000 0.0000  2 Hg 2.84
4 Hg 0.0000 0.0000 0.0000  6 Sn 2.84
5 Br 0.5000 0.5000 0.5000  12 Sn 4.02

2 | Computed, not measured: a relaxed structure of Sn3HgBr at the PBE level of DFT.

Lattice parameters (Å, degrees): 5.6383 5.6383 5.6383 90.00 90.00 90.00
With the nearest neighbours (Å) after each atom.
Element x y z (fractional)
1 Sn 0.0000 0.0000 0.5000  2 Br 2.82
2 Sn 0.0000 0.5000 0.0000  2 Br 2.82
3 Sn 0.5000 0.0000 0.0000  2 Br 2.82
4 Hg 0.5000 0.5000 0.5000  12 Sn 3.99
5 Br 0.0000 0.0000 0.0000  6 Sn 2.82

Stability, descending: 1, 2

1 | Computed, not measured: a relaxed structure of SnHg2Br at the PBE level of DFT.

Lattice parameters (Å, degrees): 7.6616 7.6616 7.6616 90.00 90.00 90.00
With the nearest neighbours (Å) after each atom.
Element x y z (fractional)
1 Sn 0.0000 0.0000 0.0000  8 Hg 3.32
2 Sn 0.0000 0.5000 0.5000  8 Hg 3.32
3 Sn 0.5000 0.0000 0.5000  8 Hg 3.32
4 Sn 0.5000 0.5000 0.0000  8 Hg 3.32
5 Hg 0.2500 0.2500 0.2500  4 Sn 3.32, 4 Br 3.32
6 Hg 0.2500 0.2500 0.7500  4 Sn 3.32, 4 Br 3.32
7 Hg 0.2500 0.7500 0.2500  4 Sn 3.32, 4 Br 3.32
8 Hg 0.2500 0.7500 0.7500  4 Sn 3.32, 4 Br 3.32
9 Hg 0.7500 0.2500 0.2500  4 Sn 3.32, 4 Br 3.32
10 Hg 0.7500 0.2500 0.7500  4 Sn 3.32, 4 Br 3.32
11 Hg 0.7500 0.7500 0.2500  4 Sn 3.32, 4 Br 3.32
12 Hg 0.7500 0.7500 0.7500  4 Sn 3.32, 4 Br 3.32
13 Br 0.0000 0.0000 0.5000  8 Hg 3.32
14 Br 0.0000 0.5000 0.0000  8 Hg 3.32
15 Br 0.5000 0.0000 0.0000  8 Hg 3.32
16 Br 0.5000 0.5000 0.5000  8 Hg 3.32

2 | Computed, not measured: a relaxed structure of SnHg2Br at the PBE level of DFT.

Lattice parameters (Å, degrees): 6.8148 6.8148 13.2977 90.00 90.00 90.00
With the nearest neighbours (Å) after each atom.
Element x y z (fractional)
1 Sn 0.0000 0.0000 0.0000  4 Hg 2.82
2 Sn 0.0000 0.5000 0.2500  4 Hg 2.82
3 Sn 0.5000 0.0000 0.7500  4 Hg 2.82
4 Sn 0.5000 0.5000 0.5000  4 Hg 2.82
5 Hg 0.2215 0.2500 0.1250  2 Sn 2.82, 2 Br 3.04
6 Hg 0.2500 0.7215 0.3750  2 Sn 2.82, 2 Br 3.04
7 Hg 0.2500 0.7785 0.8750  2 Sn 2.82, 2 Br 3.04
8 Hg 0.2785 0.2500 0.6250  2 Sn 2.82, 2 Br 3.04
9 Hg 0.7215 0.7500 0.6250  2 Sn 2.82, 2 Br 3.04
10 Hg 0.7500 0.2215 0.8750  2 Sn 2.82, 2 Br 3.04
11 Hg 0.7500 0.2785 0.3750  2 Sn 2.82, 2 Br 3.04
12 Hg 0.7785 0.7500 0.1250  2 Sn 2.82, 2 Br 3.04
13 Br 0.0000 0.0000 0.5000  4 Hg 3.04
14 Br 0.0000 0.5000 0.7500  4 Hg 3.04
15 Br 0.5000 0.0000 0.2500  4 Hg 3.04
16 Br 0.5000 0.5000 0.0000  4 Hg 3.04

3 | Computed, not measured: a relaxed structure of SnHg2Br at the PBE level of DFT.

Lattice parameters (Å, degrees): 3.5959 3.5959 31.4711 90.00 90.00 120.00
With the nearest neighbours (Å) after each atom.
Element x y z (fractional)
1 Sn 0.0000 0.0000 0.0000  2 Hg 2.95
2 Sn 0.3333 0.6667 0.6667  2 Hg 2.95
3 Sn 0.6667 0.3333 0.3333  2 Hg 2.95
4 Hg 0.0000 0.0000 0.0937  1 Sn 2.95, 3 Br 3.10
5 Hg 0.0000 0.0000 0.9063  1 Sn 2.95, 3 Br 3.10
6 Hg 0.3333 0.6667 0.5729  1 Sn 2.95, 3 Br 3.10
7 Hg 0.3333 0.6667 0.7604  1 Sn 2.95, 3 Br 3.10
8 Hg 0.6667 0.3333 0.2396  1 Sn 2.95, 3 Br 3.10
9 Hg 0.6667 0.3333 0.4271  1 Sn 2.95, 3 Br 3.10
10 Br 0.0000 0.0000 0.5000  6 Hg 3.10
11 Br 0.3333 0.6667 0.1667  6 Hg 3.10
12 Br 0.6667 0.3333 0.8333  6 Hg 3.10

Stability, descending: 2, 3, 1

1 | Computed, not measured: a relaxed structure of Sn2HgBr at the PBE level of DFT.

Lattice parameters (Å, degrees): 6.4311 6.4311 14.8668 90.00 90.00 90.00
With the nearest neighbours (Å) after each atom.
Element x y z (fractional)
1 Sn 0.2183 0.2500 0.1250  2 Hg 2.83, 2 Br 3.05
2 Sn 0.2500 0.7183 0.3750  2 Hg 2.83, 2 Br 3.05
3 Sn 0.2500 0.7817 0.8750  2 Hg 2.83, 2 Br 3.05
4 Sn 0.2817 0.2500 0.6250  2 Hg 2.83, 2 Br 3.05
5 Sn 0.7183 0.7500 0.6250  2 Hg 2.83, 2 Br 3.05
6 Sn 0.7500 0.2183 0.8750  2 Hg 2.83, 2 Br 3.05
7 Sn 0.7500 0.2817 0.3750  2 Hg 2.83, 2 Br 3.05
8 Sn 0.7817 0.7500 0.1250  2 Hg 2.83, 2 Br 3.05
9 Hg 0.0000 0.0000 0.0000  4 Sn 2.83
10 Hg 0.0000 0.5000 0.2500  4 Sn 2.83
11 Hg 0.5000 0.0000 0.7500  4 Sn 2.83
12 Hg 0.5000 0.5000 0.5000  4 Sn 2.83
13 Br 0.0000 0.0000 0.5000  4 Sn 3.05
14 Br 0.0000 0.5000 0.7500  4 Sn 3.05
15 Br 0.5000 0.0000 0.2500  4 Sn 3.05
16 Br 0.5000 0.5000 0.0000  4 Sn 3.05

2 | Computed, not measured: a relaxed structure of Sn2HgBr at the PBE level of DFT.

Lattice parameters (Å, degrees): 7.5395 7.5395 7.5395 90.00 90.00 90.00
With the nearest neighbours (Å) after each atom.
Element x y z (fractional)
1 Sn 0.2500 0.2500 0.2500  4 Hg 3.26, 4 Br 3.26
2 Sn 0.2500 0.2500 0.7500  4 Br 3.26, 4 Hg 3.26
3 Sn 0.2500 0.7500 0.2500  4 Br 3.26, 4 Hg 3.26
4 Sn 0.2500 0.7500 0.7500  4 Hg 3.26, 4 Br 3.26
5 Sn 0.7500 0.2500 0.2500  4 Br 3.26, 4 Hg 3.26
6 Sn 0.7500 0.2500 0.7500  4 Hg 3.26, 4 Br 3.26
7 Sn 0.7500 0.7500 0.2500  4 Hg 3.26, 4 Br 3.26
8 Sn 0.7500 0.7500 0.7500  4 Br 3.26, 4 Hg 3.26
9 Hg 0.0000 0.0000 0.0000  8 Sn 3.26
10 Hg 0.0000 0.5000 0.5000  8 Sn 3.26
11 Hg 0.5000 0.0000 0.5000  8 Sn 3.26
12 Hg 0.5000 0.5000 0.0000  8 Sn 3.26
13 Br 0.0000 0.0000 0.5000  8 Sn 3.26
14 Br 0.0000 0.5000 0.0000  8 Sn 3.26
15 Br 0.5000 0.0000 0.0000  8 Sn 3.26
16 Br 0.5000 0.5000 0.5000  8 Sn 3.26

Stability, descending: 2, 1